Ba3Mn2InO8 | PBE+U | relaxed

E_tot in eV/atom: -6.4332
Size of the total moment in μB per atom: 0.50

Cell and atoms, written as POSCAR:
```
Ba3Mn2InO8
1.0
5.973 0.000 0.000
-2.987 5.173 0.000
0.000 0.000 7.548
Ba Mn In O
3 2 1 8
Cartesian
0.000 3.449 4.940
2.987 1.724 2.608
0.000 0.000 0.000
0.000 3.449 1.637
2.987 1.724 5.911
0.000 0.000 3.774
0.000 3.449 7.425
2.987 1.724 0.123
-1.496 4.312 2.426
4.483 0.860 5.122
0.000 1.721 2.426
2.987 3.452 5.122
1.496 4.312 2.426
1.490 0.860 5.122
```